# Pm2SiPdPt6 | Alexandria | GGA-PBE | optimized geometry
# M_tot = 0.0 μB/cell
# raw formation energy = -77.2 kJ/mol of atoms
data_Pm2SiPdPt6
_chemical_formula_sum 'Pm4 Si2 Pd2 Pt12'
_space_group_name_H-M_alt 'C 1 2/m 1'
_space_group_IT_number 12
_space_group_name_Hall '-C 2y'
_cell_length_a 11.651
_cell_length_b 5.420
_cell_length_c 8.519
_cell_angle_alpha 90.00
_cell_angle_beta 132.29
_cell_angle_gamma 90.00
loop_
_atom_site_label
_atom_site_type_symbol
_atom_site_fract_x
_atom_site_fract_y
_atom_site_fract_z
_atom_site_occupancy
Pm1 Pm 0.227 0.000 0.196 1
Si1 Si 0.000 0.000 0.500 1
Pd1 Pd 0.000 0.500 0.000 1
Pt1 Pt 0.015 0.254 0.744 1
Pt2 Pt 0.248 0.000 0.591 1